# BeHgSe2, relaxed, DFT PBE
data_BeHgSe2
_symmetry_space_group_name_H-M 'I 41/a m d'
_symmetry_Int_Tables_number 141
_cell_length_a 5.474
_cell_length_b 5.474
_cell_length_c 10.865
_cell_angle_alpha 90.00
_cell_angle_beta 90.00
_cell_angle_gamma 90.00
loop_
_symmetry_equiv_pos_as_xyz
'x,y,z'
'-x,-y,-z'
'-y+1/4,x+3/4,z+1/4'
'y+1/4,-x+3/4,-z+1/4'
'-x+1/2,-y,z+1/2'
'x+1/2,y,-z+1/2'
'y+1/4,-x+1/4,z+3/4'
'-y+1/4,x+1/4,-z+3/4'
'x,-y,-z'
'-x,y,z'
'-y+1/4,-x+1/4,-z+3/4'
'y+1/4,x+1/4,z+3/4'
'-x+1/2,y,-z+1/2'
'x+1/2,-y,z+1/2'
'y+1/4,x+3/4,-z+1/4'
'-y+1/4,-x+3/4,z+1/4'
'x+1/2,y+1/2,z+1/2'
'-x+1/2,-y+1/2,-z+1/2'
'-y+3/4,x+1/4,z+3/4'
'y+3/4,-x+1/4,-z+3/4'
'-x,-y+1/2,z'
'x,y+1/2,-z'
'y+3/4,-x+3/4,z+1/4'
'-y+3/4,x+3/4,-z+1/4'
'x+1/2,-y+1/2,-z+1/2'
'-x+1/2,y+1/2,z+1/2'
'-y+3/4,-x+3/4,-z+1/4'
'y+3/4,x+3/4,z+1/4'
'-x,y+1/2,-z'
'x,-y+1/2,z'
'y+3/4,x+1/4,-z+3/4'
'-y+3/4,-x+1/4,z+3/4'
loop_
_atom_site_label
_atom_site_type_symbol
_atom_site_fract_x
_atom_site_fract_y
_atom_site_fract_z
_atom_site_occupancy
Be1 Be 0.000 0.250 0.375 1
Hg1 Hg 0.000 0.250 0.875 1
Se1 Se 0.000 0.250 0.163 1
# Energy above the lowest structure with this stoichiometry (meV/atom): 381
# Calculated volume (Å³ per atom): 20.3
# Density of states at the Fermi level (states/eV/cell): 4.850
# Formation energy without anion corrections (meV per atom): -89.6



# BeHg4Se, relaxed, DFT PBE
data_BeHg4Se
_symmetry_space_group_name_H-M 'F -4 3 m'
_symmetry_Int_Tables_number 216
_symmetry_space_group_name_Hall 'F -4 2 3'
_cell_length_a 8.442
_cell_length_b 8.442
_cell_length_c 8.442
_cell_angle_alpha 90.00
_cell_angle_beta 90.00
_cell_angle_gamma 90.00
loop_
_atom_site_label
_atom_site_type_symbol
_atom_site_fract_x
_atom_site_fract_y
_atom_site_fract_z
_atom_site_occupancy
Be1 Be 0.000 0.000 0.000 1
Hg1 Hg 0.125 0.125 0.625 1
Se1 Se 0.250 0.250 0.250 1
# Calculated volume (Å³ per atom): 25.1
# Density of states at the Fermi level (states/eV/cell): 22.409
# Formation energy without anion corrections (meV per atom): 686.0



# Be2HgSe, relaxed, DFT PBE
data_Be2HgSe
_symmetry_space_group_name_H-M 'I 4/m m m'
_symmetry_Int_Tables_number 139
_symmetry_space_group_name_Hall '-I 4 2'
_cell_length_a 4.239
_cell_length_b 4.239
_cell_length_c 7.190
_cell_angle_alpha 90.00
_cell_angle_beta 90.00
_cell_angle_gamma 90.00
loop_
_atom_site_label
_atom_site_type_symbol
_atom_site_fract_x
_atom_site_fract_y
_atom_site_fract_z
_atom_site_occupancy
Be1 Be 0.000 0.500 0.250 1
Hg1 Hg 0.000 0.000 0.000 1
Se1 Se 0.000 0.000 0.500 1
# Energy above the lowest structure with this stoichiometry (meV/atom): 655
# Calculated volume (Å³ per atom): 16.1
# Density of states at the Fermi level (states/eV/cell): 2.891
# Formation energy without anion corrections (meV per atom): 691.8



# BeHgSe2, relaxed, DFT PBE
data_BeHgSe2
_symmetry_space_group_name_H-M 'I -4 2 d'
_symmetry_Int_Tables_number 122
_symmetry_space_group_name_Hall 'I -4 2bw'
_cell_length_a 5.792
_cell_length_b 5.792
_cell_length_c 10.949
_cell_angle_alpha 90.00
_cell_angle_beta 90.00
_cell_angle_gamma 90.00
loop_
_atom_site_label
_atom_site_type_symbol
_atom_site_fract_x
_atom_site_fract_y
_atom_site_fract_z
_atom_site_occupancy
Be1 Be 0.000 0.000 0.000 1
Hg1 Hg 0.000 0.000 0.500 1
Se1 Se 0.185 0.250 0.125 1
# Energy above the lowest structure with this stoichiometry (meV/atom): 0
# Calculated volume (Å³ per atom): 23.0
# Density of states at the Fermi level (states/eV/cell): 0.000
# Formation energy without anion corrections (meV per atom): -470.2



# Be2HgSe, relaxed, DFT PBE
data_Be2HgSe
_symmetry_space_group_name_H-M 'C m m m'
_symmetry_Int_Tables_number 65
_symmetry_space_group_name_Hall '-C 2 2'
_cell_length_a 3.260
_cell_length_b 6.867
_cell_length_c 7.036
_cell_angle_alpha 90.00
_cell_angle_beta 90.00
_cell_angle_gamma 90.00
loop_
_atom_site_label
_atom_site_type_symbol
_atom_site_fract_x
_atom_site_fract_y
_atom_site_fract_z
_atom_site_occupancy
Be1 Be 0.000 0.000 0.221 1
Hg1 Hg 0.000 0.500 0.500 1
Se1 Se 0.000 0.500 0.000 1
# Energy above the lowest structure with this stoichiometry (meV/atom): 345
# Calculated volume (Å³ per atom): 19.7
# Density of states at the Fermi level (states/eV/cell): 2.891
# Formation energy without anion corrections (meV per atom): 381.2



# BeHgSe2, relaxed, DFT PBE
data_BeHgSe2
_symmetry_space_group_name_H-M 'I m m m'
_symmetry_Int_Tables_number 71
_symmetry_space_group_name_Hall '-I 2 2'
_cell_length_a 3.247
_cell_length_b 5.191
_cell_length_c 11.339
_cell_angle_alpha 90.00
_cell_angle_beta 90.00
_cell_angle_gamma 90.00
loop_
_atom_site_label
_atom_site_type_symbol
_atom_site_fract_x
_atom_site_fract_y
_atom_site_fract_z
_atom_site_occupancy
Be1 Be 0.000 0.000 0.000 1
Hg1 Hg 0.000 0.000 0.500 1
Se1 Se 0.000 0.500 0.359 1
# Energy above the lowest structure with this stoichiometry (meV/atom): 550
# Calculated volume (Å³ per atom): 23.9
# Density of states at the Fermi level (states/eV/cell): 6.720
# Formation energy without anion corrections (meV per atom): 79.8